A relaxed structure of ZrSbSe2. Source: Alexandria via LeMat-Bulk, functional PBE.

```
ZrSbSe2
1.0
3.7165 0.0000 0.0000
0.0000 5.1667 0.0000
-1.8456 0.0000 4.8962
Zr Sb Se
1 1 2
Direct
0.0000 0.0000 0.0000
0.6026 0.5000 0.2120
0.2960 0.0000 0.5917
0.8881 0.5000 0.7818
```

Values from the calculation:
Raw formation energy (eV per atom): -0.588
Calculated density (Mg/m³): 6.6
SG: Pm
Crystal system: monoclinic

=====

A relaxed structure of Zr2SbSe2. Source: Alexandria via LeMat-Bulk, functional PBE.

```
Zr2SbSe2
1.0
7.9258 0.0000 0.0000
0.0000 7.9258 0.0000
0.0000 0.0000 3.4202
Zr Sb Se
4 2 4
Direct
0.1484 0.3516 0.0000
0.3516 0.8516 0.0000
0.6484 0.1484 0.0000
0.8516 0.6484 0.0000
0.0000 0.0000 0.0000
0.5000 0.5000 0.0000
0.1358 0.6358 0.5000
0.3642 0.1358 0.5000
0.6358 0.8642 0.5000
0.8642 0.3642 0.5000
```

Values from the calculation:
Raw formation energy (eV per atom): -0.943
Calculated density (Mg/m³): 7.1
SG: P4/mbm
Crystal system: tetragonal

=====

A relaxed structure of ZrSbSe2. Source: Alexandria via LeMat-Bulk, functional PBE.

```
ZrSbSe2
1.0
3.4413 0.0000 0.0000
0.0000 3.4413 0.0000
0.0000 0.0000 7.2761
Zr Sb Se
1 1 2
Direct
0.0000 0.0000 0.0000
0.0000 0.0000 0.5000
0.5000 0.5000 0.2081
0.5000 0.5000 0.7919
```

Values from the calculation:
Raw formation energy (eV per atom): -0.687
Calculated density (Mg/m³): 7.1
SG: P4/mmm
Crystal system: tetragonal

=====

A relaxed structure of ZrSbSe2. Source: Alexandria via LeMat-Bulk, functional PBE.

```
ZrSbSe2
1.0
-1.9206 1.9878 7.3027
1.9206 -1.9878 7.3027
1.9206 1.9878 -7.3027
Zr Sb Se
1 1 2
Direct
0.0000 0.0000 0.0000
0.8372 0.3372 0.5000
0.3630 0.8630 0.5000
0.5730 0.5730 0.0000
```

Values from the calculation:
Raw formation energy (eV per atom): -0.658
Calculated density (Mg/m³): 5.5
SG: Imm2
Crystal system: orthorhombic